Pa2MnSi4Os3: optimized geometry, PBE-GGA.

## Properties
Volume (Å³ per cell): 167.02

abc: 4.0634 4.0634 10.1157
angles: 90.00 90.00 90.00
Last column: nearest neighbours and their distance in Å.
Space group P-4m2 (No. 115)
One atom of each set of equivalent atoms:
Pa1 0.0000 0.5000 0.2480 x2  6 Os 3.10-3.26, 8 Si 3.12-3.23, 2 Mn 3.26
Mn1 0.0000 0.0000 0.5000 x1  4 Si 2.42
Si1 0.0000 0.0000 0.0000 x1  4 Os 2.44
Si2 0.0000 0.5000 0.6307 x2  3 Os 2.39-2.42, 2 Mn 2.42
Si3 0.5000 0.5000 0.0000 x1  4 Os 2.44
Os1 0.0000 0.5000 0.8668 x2  5 Si 2.39-2.44
Os2 0.5000 0.5000 0.5000 x1  4 Si 2.42

PaMnSi2Os2: optimized geometry, PBE-GGA.

## Properties
Volume (Å³ per cell): 213.26

abc: 3.7167 3.7167 15.4376
angles: 90.00 90.00 90.00
Last column: nearest neighbours and their distance in Å.
Space group I4/mmm (No. 139)
One atom of each set of equivalent atoms:
Pa1 0.0000 0.0000 0.0000 x2  4 Mn 2.63
Mn1 0.0000 0.0000 0.5000 x2  2 Si 2.26
Si1 0.0000 0.0000 0.3536 x4  1 Mn 2.26, 4 Os 2.45
Os1 0.0000 0.5000 0.2500 x4  4 Si 2.45, 4 Os 2.63

Number 1: raw formation energy -578 meV per atom. Number 2: raw formation energy -35 meV per atom.